(1)
Ag4Os6O19 after structural relaxation, computed with PBE.

a b c (Å): 8.031 8.031 8.031
angles (deg): 109.47 109.47 109.47
Last column: magnetic moment on the atom in μB.
Fractional coordinates of all 29 atoms:
Ag 0.000 0.000 0.728  0.04
Ag 0.000 0.728 0.000  0.04
Ag 0.272 0.272 0.272  0.04
Ag 0.728 0.000 0.000  0.04
Os 0.359 0.500 0.859  -0.01
Os 0.641 0.500 0.141  -0.01
Os 0.141 0.641 0.500  -0.01
Os 0.859 0.359 0.500  -0.01
Os 0.500 0.859 0.359  -0.01
Os 0.500 0.141 0.641  -0.01
O 0.662 0.000 0.662  0.01
O 0.338 0.000 0.338  0.01
O 0.338 0.338 0.000  0.01
O 0.662 0.662 0.000  0.01
O 0.000 0.662 0.662  0.01
O 0.000 0.338 0.338  0.01
O 0.000 0.000 0.000  0.16
O 0.363 0.297 0.652  0.00
O 0.637 0.290 0.935  0.00
O 0.645 0.710 0.348  0.00
O 0.935 0.637 0.290  0.00
O 0.355 0.703 0.065  0.00
O 0.652 0.363 0.297  0.00
O 0.065 0.355 0.703  0.00
O 0.348 0.645 0.710  0.00
O 0.703 0.065 0.355  0.00
O 0.290 0.935 0.637  0.00
O 0.297 0.652 0.363  0.00
O 0.710 0.348 0.645  0.00

Summary:
formation energy without anion corrections	-0.7046	eV per atom
electronic total energy	-6.67	eV/atom
total magnetization	0.27	μB per formula unit
DOS(E_F)	0.823	states/eV/atom
SG	I23

=====

(2)
LiUBi2S6 after structural relaxation, computed with PBE.

a b c (Å): 6.932 6.932 7.310
angles (deg): 90.00 118.31 120.00
Last column: magnetic moment on the atom in μB.
Fractional coordinates of all 10 atoms:
Li 0.998 0.499 0.483  0.00
U 0.979 0.989 0.953  1.21
Bi 0.591 0.795 0.372  0.00
Bi 0.602 0.300 0.888  0.00
S 0.488 0.871 0.684  -0.03
S 0.473 0.115 0.184  -0.03
S 0.842 0.726 0.184  -0.03
S 0.083 0.356 0.184  -0.03
S 0.828 0.616 0.684  -0.03
S 0.082 0.210 0.684  -0.03

Summary:
formation energy without anion corrections	-0.8084	eV per atom
electronic total energy	-5.38	eV/atom
total magnetization	1.01	μB per formula unit
DOS(E_F)	0.005	states/eV/atom
SG	R3

=====

(3)
Zr2Mn3Os after structural relaxation, computed with PBE.

a b c (Å): 5.071 5.071 5.073
angles (deg): 90.00 119.97 120.01
Last column: magnetic moment on the atom in μB.
Fractional coordinates of all 6 atoms:
Zr 0.750 0.375 0.126  -0.30
Zr 0.250 0.625 0.874  -0.30
Mn 0.500 0.500 0.500  1.65
Mn 0.000 0.000 0.500  1.65
Mn 0.500 0.000 0.500  1.64
Os 0.000 0.000 0.000  0.04

Summary:
electronic total energy	-9.60	eV/atom
total magnetization	4.18	μB per formula unit
DOS(E_F)	0.946	states/eV/atom
SG	R-3m

=====

(4)
InB2F6 after structural relaxation, computed with PBE.

a b c (Å): 5.651 9.558 9.558
angles (deg): 53.21 64.30 64.30
Last column: magnetic moment on the atom in μB.
Fractional coordinates of all 18 atoms:
In 0.250 0.057 0.943  0.08
In 0.750 0.943 0.057  0.08
B 0.371 0.527 0.795  0.00
B 0.129 0.205 0.473  0.00
B 0.629 0.473 0.205  0.00
B 0.871 0.795 0.527  0.00
F 0.499 0.542 0.635  0.00
F 0.001 0.365 0.458  0.00
F 0.501 0.458 0.365  0.00
F 0.999 0.635 0.542  0.00
F 0.981 0.935 0.404  0.00
F 0.519 0.596 0.065  0.00
F 0.019 0.065 0.596  0.00
F 0.481 0.404 0.935  0.00
F 0.129 0.637 0.815  0.00
F 0.371 0.185 0.363  0.00
F 0.871 0.363 0.185  0.00
F 0.629 0.815 0.637  0.00

Summary:
formation energy without anion corrections	-2.3446	eV per atom
electronic total energy	-5.38	eV/atom
total magnetization	0.30	μB per formula unit
DOS(E_F)	0.216	states/eV/atom
SG	C2/c

=====

(5)
BeAg2TePb after structural relaxation, computed with PBE.

a b c (Å): 5.500 4.416 5.500
angles (deg): 90.00 90.00 90.00
Fractional coordinates of all 5 atoms:
Pb 0.500 0.500 0.500
Be 0.000 0.500 0.000
Te 0.000 0.000 0.000
Ag 0.000 0.000 0.500
Ag 0.500 0.000 0.000

Summary:
formation energy without anion corrections	0.7094	eV per atom
electronic total energy	-2.55	eV/atom
total magnetization	0.00	μB per formula unit
DOS(E_F)	0.590	states/eV/atom
SG	P4/mmm

=====

(6)
Na12InHg6 after structural relaxation, computed with PBE.

a b c (Å): 8.135 8.135 8.135
angles (deg): 88.50 88.50 88.50
Fractional coordinates of all 19 atoms:
Na 0.807 0.530 0.427
Na 0.427 0.807 0.530
Na 0.530 0.427 0.807
Na 0.193 0.470 0.573
Na 0.573 0.193 0.470
Na 0.470 0.573 0.193
Na 0.023 0.147 0.373
Na 0.853 0.627 0.977
Na 0.627 0.977 0.853
Na 0.977 0.853 0.627
Na 0.147 0.373 0.023
Na 0.373 0.023 0.147
In 0.000 0.000 0.000
Hg 0.726 0.883 0.264
Hg 0.736 0.274 0.117
Hg 0.117 0.736 0.274
Hg 0.274 0.117 0.736
Hg 0.264 0.726 0.883
Hg 0.883 0.264 0.726

Summary:
electronic total energy	-1.24	eV/atom
total magnetization	0.00	μB per formula unit
DOS(E_F)	0.399	states/eV/atom
SG	R-3